Entry 1:
NaTa2SbO8 | GGA-PBE | relaxed

Calculated values
- uncorrected energy (eV per atom) = -8.01
- density of states at the Fermi level (states/eV/cell) = 0.0
- energy relative to the elements, uncorrected (meV/atom) = -2274

The structure in CIF format:
```
data_NaTa2SbO8
_space_group_name_H-M_alt 'C m m m'
_space_group_IT_number 65
_space_group_name_Hall '-C 2 2'
_cell_length_a 6.6625
_cell_length_b 6.9230
_cell_length_c 6.3551
_cell_angle_alpha 90.00
_cell_angle_beta 90.00
_cell_angle_gamma 90.00
loop_
_atom_site_label
_atom_site_fract_x
_atom_site_fract_y
_atom_site_fract_z
Na1 0.0000 0.0000 0.0000
Ta1 0.0000 0.5000 0.2416
Sb1 0.0000 0.0000 0.5000
O1 0.0000 0.3009 0.5000
O2 0.0000 0.3218 0.0000
O3 0.2089 0.0000 0.2784
```



Entry 2:
BaAg2Rh | GGA-PBE | relaxed

Calculated values
- uncorrected energy (eV per atom) = -3.55
- density of states at the Fermi level (states/eV/cell) = 2.9
- polymorph energy (0 for the lowest one) (eV per atom) = 0.259

The structure in CIF format:
```
data_BaAg2Rh
_space_group_name_H-M_alt 'P 4/m m m'
_space_group_IT_number 123
_space_group_name_Hall '-P 4 2'
_cell_length_a 3.6346
_cell_length_b 3.6346
_cell_length_c 7.0175
_cell_angle_alpha 90.00
_cell_angle_beta 90.00
_cell_angle_gamma 90.00
loop_
_atom_site_label
_atom_site_fract_x
_atom_site_fract_y
_atom_site_fract_z
Ba1 0.0000 0.0000 0.0000
Ag1 0.5000 0.5000 0.3104
Rh1 0.0000 0.0000 0.5000
```



Entry 3:
ZnSi4As | GGA-PBE | relaxed

Calculated values
- uncorrected energy (eV per atom) = -4.05
- density of states at the Fermi level (states/eV/cell) = 12.4
- energy relative to the elements, uncorrected (meV/atom) = 555

The structure in CIF format:
```
data_ZnSi4As
_space_group_name_H-M_alt 'F -4 3 m'
_space_group_IT_number 216
_space_group_name_Hall 'F -4 2 3'
_cell_length_a 7.3102
_cell_length_b 7.3102
_cell_length_c 7.3102
_cell_angle_alpha 90.00
_cell_angle_beta 90.00
_cell_angle_gamma 90.00
loop_
_atom_site_label
_atom_site_fract_x
_atom_site_fract_y
_atom_site_fract_z
Zn1 0.0000 0.0000 0.0000
Si1 0.1254 0.1254 0.3746
As1 0.2500 0.2500 0.7500
```



Entry 4:
Pr2O3 | GGA-PBE | relaxed

Calculated values
- uncorrected energy (eV per atom) = -8.20
- density of states at the Fermi level (states/eV/cell) = 0.0
- energy relative to the elements, uncorrected (meV/atom) = -3316

The structure in CIF format:
```
data_Pr2O3
_space_group_name_H-M_alt 'I a -3'
_space_group_IT_number 206
_space_group_name_Hall '-I 2b 2c 3'
_cell_length_a 11.2876
_cell_length_b 11.2876
_cell_length_c 11.2876
_cell_angle_alpha 90.00
_cell_angle_beta 90.00
_cell_angle_gamma 90.00
loop_
_atom_site_label
_atom_site_fract_x
_atom_site_fract_y
_atom_site_fract_z
Pr1 0.0000 0.2500 0.4695
Pr2 0.2500 0.2500 0.2500
O1 0.1095 0.1492 0.6215
```



Among the records above, which one has the highest density of states at the Fermi level? ZnSi4As